No. 1
# FeHg2Au (meta-GGA SCAN, single point on PBEsol structure)
# **Magnetization**: 0.752 μB per atom
# **Crystal system**: tetragonal
# **Calculated formation energy**: 0.292 eV per atom
# **Total DFT energy (no corrections)**: -444.90 eV for the cell shown
# **Calculated density**: 15.50 g/cm³
# **ΔE to the lowest computed polymorph**: 0.136 eV per atom
data_FeHg2Au
_cell_length_a 4.327
_cell_length_b 4.327
_cell_length_c 7.483
_cell_angle_alpha 90.00
_cell_angle_beta 90.00
_cell_angle_gamma 90.00
_space_group_name_H-M_alt 'I 4/m m m'
_space_group_IT_number 139
_space_group_name_Hall '-I 4 2'
loop_
_atom_site_label
_atom_site_fract_x
_atom_site_fract_y
_atom_site_fract_z
Fe1 0.000 0.000 0.000
Hg1 0.000 0.500 0.250
Au1 0.000 0.000 0.500

No. 2
# Fe3AuI (meta-GGA SCAN, single point on PBEsol structure)
# **Magnetization**: 1.401 μB per atom
# **Crystal system**: cubic
# **Total DFT energy (no corrections)**: -152.76 eV for the cell shown
# **Calculated density**: 8.67 g/cm³
data_Fe3AuI
_cell_length_a 4.549
_cell_length_b 4.549
_cell_length_c 4.549
_cell_angle_alpha 90.00
_cell_angle_beta 90.00
_cell_angle_gamma 90.00
_space_group_name_H-M_alt 'P m -3 m'
_space_group_IT_number 221
_space_group_name_Hall '-P 4 2 3'
loop_
_atom_site_label
_atom_site_fract_x
_atom_site_fract_y
_atom_site_fract_z
Fe1 0.000 0.000 0.500
Au1 0.500 0.500 0.500
I1 0.000 0.000 0.000

No. 3
# FeAuI2O (meta-GGA SCAN, single point on PBEsol structure)
# **Magnetization**: 0.000 μB per atom
# **Crystal system**: tetragonal
# **Total DFT energy (no corrections)**: -166.49 eV for the cell shown
# **Calculated density**: 8.84 g/cm³
data_FeAuI2O
_cell_length_a 5.345
_cell_length_b 5.345
_cell_length_c 3.435
_cell_angle_alpha 90.00
_cell_angle_beta 90.00
_cell_angle_gamma 90.00
_space_group_name_H-M_alt 'P 4/m m m'
_space_group_IT_number 123
_space_group_name_Hall '-P 4 2'
loop_
_atom_site_label
_atom_site_fract_x
_atom_site_fract_y
_atom_site_fract_z
Fe1 0.000 0.000 0.000
Au1 0.500 0.500 0.500
I1 0.000 0.500 0.000
O1 0.000 0.000 0.500

No. 4
# FeTeAuI2 (meta-GGA SCAN, single point on PBEsol structure)
# **Magnetization**: 0.815 μB per atom
# **Crystal system**: tetragonal
# **Total DFT energy (no corrections)**: -194.36 eV for the cell shown
# **Calculated density**: 6.50 g/cm³
data_FeTeAuI2
_cell_length_a 5.437
_cell_length_b 5.437
_cell_length_c 5.478
_cell_angle_alpha 90.00
_cell_angle_beta 90.00
_cell_angle_gamma 90.00
_space_group_name_H-M_alt 'P 4/m m m'
_space_group_IT_number 123
_space_group_name_Hall '-P 4 2'
loop_
_atom_site_label
_atom_site_fract_x
_atom_site_fract_y
_atom_site_fract_z
Fe1 0.000 0.000 0.000
Te1 0.500 0.500 0.000
Au1 0.500 0.500 0.500
I1 0.000 0.500 0.500

No. 5
# InFeAu2 (meta-GGA SCAN, single point on PBEsol structure)
# **Magnetization**: 0.710 μB per atom
# **Crystal system**: cubic
# **Calculated formation energy**: 0.039 eV per atom
# **Total DFT energy (no corrections)**: -758.70 eV for the cell shown
# **Calculated density**: 14.10 g/cm³
data_InFeAu2
_cell_length_a 6.431
_cell_length_b 6.431
_cell_length_c 6.431
_cell_angle_alpha 90.00
_cell_angle_beta 90.00
_cell_angle_gamma 90.00
_space_group_name_H-M_alt 'F -4 3 m'
_space_group_IT_number 216
_space_group_name_Hall 'F -4 2 3'
loop_
_atom_site_label
_atom_site_fract_x
_atom_site_fract_y
_atom_site_fract_z
In1 0.000 0.000 0.000
Fe1 0.250 0.250 0.750
Au1 0.000 0.000 0.500
Au2 0.250 0.250 0.250

No. 6
# InFeAu2 (meta-GGA SCAN, single point on PBEsol structure)
# **Magnetization**: 0.700 μB per atom
# **Crystal system**: monoclinic
# **Calculated formation energy**: 0.065 eV per atom
# **Total DFT energy (no corrections)**: -189.57 eV for the cell shown
# **Calculated density**: 14.09 g/cm³
data_InFeAu2
_cell_length_a 4.824
_cell_length_b 2.937
_cell_length_c 4.917
_cell_angle_alpha 90.00
_cell_angle_beta 107.28
_cell_angle_gamma 90.00
_space_group_name_H-M_alt 'P 1 2/m 1'
_space_group_IT_number 10
_space_group_name_Hall '-P 2y'
loop_
_atom_site_label
_atom_site_fract_x
_atom_site_fract_y
_atom_site_fract_z
In1 0.000 0.000 0.000
Fe1 0.500 0.500 0.000
Au1 0.000 0.500 0.500
Au2 0.500 0.000 0.500

No. 7
# InFeAu3 (meta-GGA SCAN, single point on PBEsol structure)
# **Magnetization**: 0.670 μB per atom
# **Crystal system**: cubic
# **Calculated formation energy**: 0.418 eV per atom
# **Total DFT energy (no corrections)**: -256.90 eV for the cell shown
# **Calculated density**: 11.56 g/cm³
data_InFeAu3
_cell_length_a 4.783
_cell_length_b 4.783
_cell_length_c 4.783
_cell_angle_alpha 90.00
_cell_angle_beta 90.00
_cell_angle_gamma 90.00
_space_group_name_H-M_alt 'P m -3 m'
_space_group_IT_number 221
_space_group_name_Hall '-P 4 2 3'
loop_
_atom_site_label
_atom_site_fract_x
_atom_site_fract_y
_atom_site_fract_z
In1 0.000 0.000 0.000
Fe1 0.500 0.500 0.500
Au1 0.000 0.500 0.500

No. 8
# InFeAu (meta-GGA SCAN, single point on PBEsol structure)
# **Magnetization**: 0.918 μB per atom
# **Crystal system**: trigonal
# **Calculated formation energy**: 0.111 eV per atom
# **Total DFT energy (no corrections)**: -120.34 eV for the cell shown
# **Calculated density**: 12.18 g/cm³
data_InFeAu
_cell_length_a 4.4307
_cell_length_b 4.4307
_cell_length_c 2.9482
_cell_angle_alpha 90.00
_cell_angle_beta 90.00
_cell_angle_gamma 120.00
_space_group_name_H-M_alt 'P 3 m 1'
_space_group_IT_number 156
_space_group_name_Hall 'P 3 -2"'
loop_
_atom_site_label
_atom_site_fract_x
_atom_site_fract_y
_atom_site_fract_z
In1 0.0000 0.0000 0.0000
Fe1 0.6667 0.3333 0.3625
Au1 0.3333 0.6667 0.6751

No. 9
# In2FeWAu (meta-GGA SCAN, single point on PBEsol structure)
# **Magnetization**: 1.304 μB per atom
# **Crystal system**: tetragonal
# **Calculated formation energy**: 1.483 eV per atom
# **Total DFT energy (no corrections)**: -216.33 eV for the cell shown
# **Calculated density**: 9.43 g/cm³
data_In2FeWAu
_cell_length_a 4.965
_cell_length_b 4.965
_cell_length_c 4.761
_cell_angle_alpha 90.00
_cell_angle_beta 90.00
_cell_angle_gamma 90.00
_space_group_name_H-M_alt 'P 4/m m m'
_space_group_IT_number 123
_space_group_name_Hall '-P 4 2'
loop_
_atom_site_label
_atom_site_fract_x
_atom_site_fract_y
_atom_site_fract_z
In1 0.000 0.500 0.000
Fe1 0.000 0.000 0.500
W1 0.500 0.500 0.500
Au1 0.000 0.000 0.000

No. 10
# FeIrAu (meta-GGA SCAN, single point on PBEsol structure)
# **Magnetization**: 1.369 μB per atom
# **Crystal system**: trigonal
# **Calculated formation energy**: 0.168 eV per atom
# **Total DFT energy (no corrections)**: -157.88 eV for the cell shown
# **Calculated density**: 16.94 g/cm³
# **ΔE to the lowest computed polymorph**: 0.027 eV per atom
data_FeIrAu
_cell_length_a 4.3161
_cell_length_b 4.3161
_cell_length_c 2.7035
_cell_angle_alpha 90.00
_cell_angle_beta 90.00
_cell_angle_gamma 120.00
_space_group_name_H-M_alt 'P 3 m 1'
_space_group_IT_number 156
_space_group_name_Hall 'P 3 -2"'
loop_
_atom_site_label
_atom_site_fract_x
_atom_site_fract_y
_atom_site_fract_z
Fe1 0.0000 0.0000 0.0000
Ir1 0.3333 0.6667 0.7804
Au1 0.6667 0.3333 0.3222

No. 11
# Fe2IrAu (meta-GGA SCAN, single point on PBEsol structure)
# **Magnetization**: 1.755 μB per atom
# **Crystal system**: tetragonal
# **Calculated formation energy**: -0.080 eV per atom
# **Total DFT energy (no corrections)**: -353.67 eV for the cell shown
# **Calculated density**: 15.31 g/cm³
# **ΔE to the lowest computed polymorph**: 0.000 eV per atom
data_Fe2IrAu
_cell_length_a 3.836
_cell_length_b 3.836
_cell_length_c 7.382
_cell_angle_alpha 90.00
_cell_angle_beta 90.00
_cell_angle_gamma 90.00
_space_group_name_H-M_alt 'I 4/m m m'
_space_group_IT_number 139
_space_group_name_Hall '-I 4 2'
loop_
_atom_site_label
_atom_site_fract_x
_atom_site_fract_y
_atom_site_fract_z
Fe1 0.000 0.500 0.250
Ir1 0.000 0.000 0.000
Au1 0.000 0.000 0.500

No. 12
# Fe2IrAu (meta-GGA SCAN, single point on PBEsol structure)
# **Magnetization**: 1.633 μB per atom
# **Crystal system**: orthorhombic
# **Calculated formation energy**: -0.074 eV per atom
# **Total DFT energy (no corrections)**: -176.81 eV for the cell shown
# **Calculated density**: 15.32 g/cm³
# **ΔE to the lowest computed polymorph**: 0.006 eV per atom
data_Fe2IrAu
_cell_length_a 2.701
_cell_length_b 3.691
_cell_length_c 5.445
_cell_angle_alpha 90.00
_cell_angle_beta 90.00
_cell_angle_gamma 90.00
_space_group_name_H-M_alt 'P m m m'
_space_group_IT_number 47
_space_group_name_Hall '-P 2 2'
loop_
_atom_site_label
_atom_site_fract_x
_atom_site_fract_y
_atom_site_fract_z
Fe1 0.000 0.000 0.224
Ir1 0.500 0.500 0.000
Au1 0.500 0.500 0.500

No. 13
# Fe2IrAu (meta-GGA SCAN, single point on PBEsol structure)
# **Magnetization**: 1.583 μB per atom
# **Crystal system**: orthorhombic
# **Calculated formation energy**: 0.067 eV per atom
# **Total DFT energy (no corrections)**: -352.50 eV for the cell shown
# **Calculated density**: 15.53 g/cm³
# **ΔE to the lowest computed polymorph**: 0.146 eV per atom
data_Fe2IrAu
_cell_length_a 4.042
_cell_length_b 2.676
_cell_length_c 9.904
_cell_angle_alpha 90.00
_cell_angle_beta 90.00
_cell_angle_gamma 90.00
_space_group_name_H-M_alt 'A m m 2'
_space_group_IT_number 38
_space_group_name_Hall 'A 2 -2'
loop_
_atom_site_label
_atom_site_fract_x
_atom_site_fract_y
_atom_site_fract_z
Fe1 0.000 0.000 0.000
Fe2 0.500 0.000 0.129
Ir1 0.500 0.000 0.404
Au1 0.000 0.000 0.740

No. 14
# FeIrAu (meta-GGA SCAN, single point on PBEsol structure)
# **Magnetization**: 1.507 μB per atom
# **Crystal system**: cubic
# **Calculated formation energy**: 0.763 eV per atom
# **Total DFT energy (no corrections)**: -624.38 eV for the cell shown
# **Calculated density**: 14.08 g/cm³
# **ΔE to the lowest computed polymorph**: 0.622 eV per atom
data_FeIrAu
_cell_length_a 5.944
_cell_length_b 5.944
_cell_length_c 5.944
_cell_angle_alpha 90.00
_cell_angle_beta 90.00
_cell_angle_gamma 90.00
_space_group_name_H-M_alt 'F -4 3 m'
_space_group_IT_number 216
_space_group_name_Hall 'F -4 2 3'
loop_
_atom_site_label
_atom_site_fract_x
_atom_site_fract_y
_atom_site_fract_z
Fe1 0.000 0.000 0.000
Ir1 0.000 0.000 0.500
Au1 0.250 0.250 0.250